Compound: ZrFe2Se
Source: the Alexandria database
Functional: PBE
Structure: optimized geometry

Unit cell a=3.8662 b=3.8662 c=8.2683 alpha=90.00 beta=90.00 gamma=90.00
Space group I-4m2 (No. 119)
One atom of each set of equivalent atoms:
1 Zr 0.0000 0.0000 0.0000
2 Fe 0.0000 0.0000 0.5000
3 Fe 0.0000 0.5000 0.7500
4 Se 0.0000 0.5000 0.2500

Values from the calculation:
Uncorrected formation energy (eV/f.u.): 0.0
M_tot (μB per cell): 7.9